Record 1
Computed, not measured: crystalline KAgTeIrS2 at its relaxed geometry at the PBE level of DFT.

Cell: 8.3344 8.3344 10.2671 Å, 90.00 90.00 154.74°
Last column: nearest neighbours and their distance in Å.
Atoms (fractional coordinates):
Ir: 0.5000 0.5000 0.5000  4 S 2.43
Te: 0.4405 0.5595 0.2500  2 Ir 2.74, 2 Ag 3.03
Te: 0.5595 0.4405 0.7500  2 Ir 2.74, 2 Ag 3.03
Ir: 0.5000 0.5000 0.0000  4 S 2.43
S: 0.0982 0.9018 0.0180  1 Ag 2.39, 2 Ir 2.43
S: 0.0982 0.9018 0.4820  1 Ag 2.39, 2 Ir 2.43
Ag: 0.0897 0.9103 0.2500  2 S 2.39
S: 0.9018 0.0982 0.9820  1 Ag 2.39, 2 Ir 2.43
Ag: 0.9103 0.0897 0.7500  2 S 2.39
S: 0.9018 0.0982 0.5180  1 Ag 2.39, 2 Ir 2.43
K: 0.2426 0.7574 0.7500  2 Ag 3.28, 2 Te 3.49, 2 S 3.62, 2 K 3.65
K: 0.7574 0.2426 0.2500  2 Ag 3.28, 2 Te 3.49, 2 S 3.62, 2 K 3.65

## Properties
Total magnetic moment   0.01 Bohr magnetons per cell
Theoretical density   5.79 g/cm3
Total energy   -4.34 eV/atom
Symmetry   Cmcm (63)

=====

Record 2
Computed, not measured: crystalline TlCdAg2 at its relaxed geometry at the PBE level of DFT.

Cell: 4.9479 4.9479 4.9479 Å, 60.00 60.00 60.00°
Last column: nearest neighbours and their distance in Å.
Atoms (fractional coordinates):
Tl: 0.5000 0.5000 0.5000  4 Ag 3.03, 4 Cd 3.03
Ag: 0.7500 0.7500 0.7500  4 Tl 3.03, 4 Ag 3.03
Ag: 0.0000 0.0000 0.0000  4 Cd 3.03, 4 Ag 3.03
Cd: 0.2500 0.2500 0.2500  4 Ag 3.03, 4 Tl 3.03

## Properties
Theoretical density   10.32 g/cm3
Total energy   -2.13 eV/atom
Symmetry   F-43m (216)

=====

Record 3
Computed, not measured: crystalline KNaPtC2 at its relaxed geometry at the PBE level of DFT.

Cell: 4.9267 4.9267 5.2286 Å, 90.00 90.00 120.00°
Last column: nearest neighbours and their distance in Å.
Atoms (fractional coordinates):
C: 0.6667 0.3333 0.3799  1 C 1.28
Pt: 0.6667 0.3333 0.0040  2 C 1.97-1.99
C: 0.6667 0.3333 0.6240  1 C 1.28
K: 0.0000 0.0000 0.7245  3 C 2.89, 3 Pt 3.20
Na: 0.3333 0.6667 0.2677  3 C 2.90, 3 Pt 3.16

## Properties
Total magnetic moment   0.00 Bohr magnetons per cell
Theoretical density   4.25 g/cm3
Total energy   -5.43 eV/atom
Symmetry   P3m1 (156)

=====

Record 4
Computed, not measured: crystalline ReTeSe at its relaxed geometry at the PBE level of DFT.

Cell: 6.8717 7.0654 7.4770 Å, 72.71 76.99 61.47°
Last column: nearest neighbours and their distance in Å.
Atoms (fractional coordinates):
Se: 0.3423 0.6657 0.2691  3 Re 2.44-2.58
Se: 0.1101 0.3756 0.7667  3 Re 2.49-2.50
Se: 0.6577 0.3343 0.7309  3 Re 2.44-2.58
Re: 0.4238 0.3249 0.5113  3 Se 2.44-2.58, 1 Te 2.69
Te: 0.8408 0.1441 0.3060  3 Re 2.77-2.81
Re: 0.0083 0.3008 0.5039  3 Se 2.49-2.57, 2 Te 2.68-2.77, 1 Re 2.75
Re: 0.5762 0.6751 0.4887  3 Se 2.44-2.58, 1 Te 2.69
Se: 0.8899 0.6244 0.2333  3 Re 2.49-2.50
Te: 0.3814 0.1174 0.2836  3 Re 2.68-2.83
Re: 0.9917 0.6992 0.4961  3 Se 2.49-2.57, 2 Te 2.68-2.77, 1 Re 2.75
Te: 0.1592 0.8559 0.6940  3 Re 2.77-2.81
Te: 0.6186 0.8826 0.7164  3 Re 2.68-2.83

## Properties
Total magnetic moment   0.00 Bohr magnetons per cell
Theoretical density   8.61 g/cm3
Total energy   -6.60 eV/atom
Symmetry   P-1 (2)

=====

Record 5
Computed, not measured: crystalline TbGd3Pt4 at its relaxed geometry at the PBE level of DFT.

Cell: 5.6008 4.5304 7.1003 Å, 90.00 90.09 90.00°
Last column: nearest neighbours and their distance in Å.
Atoms (fractional coordinates):
Gd: 0.8601 0.5000 0.6818  7 Pt 2.89-3.06
Tb: 0.1400 0.0000 0.3178  7 Pt 2.89-3.05
Gd: 0.6401 0.5000 0.1824  7 Pt 2.89-3.05
Pt: 0.6548 0.0000 0.4549  2 Tb 2.89-3.04, 2 Pt 2.92, 5 Gd 2.98-3.06
Pt: 0.8460 0.0000 0.9560  6 Gd 2.89-3.04, 2 Pt 2.92, 1 Tb 3.05
Pt: 0.3449 0.5000 0.5436  5 Gd 2.89-3.05, 2 Pt 2.92, 2 Tb 3.00
Gd: 0.3598 0.0000 0.8178  7 Pt 2.89-3.06
Pt: 0.1544 0.5000 0.0457  5 Gd 2.89-3.06, 2 Pt 2.92, 2 Tb 2.98

## Properties
Total magnetic moment   0.01 Bohr magnetons per cell
Energy of formation from the pure elements   -1.2584 eV per atom
Theoretical density   13.01 g/cm3
Total energy   -6.61 eV/atom
Symmetry   Pm (6)

=====

Record 6
Computed, not measured: crystalline Hf2Ag3Pb at its relaxed geometry at the PBE level of DFT.

Cell: 3.4762 3.4762 10.0917 Å, 90.00 90.00 90.00°
Last column: nearest neighbours and their distance in Å.
Atoms (fractional coordinates):
Ag: 0.5000 0.5000 0.3612  4 Hf 2.91, 1 Ag 3.09, 4 Pb 3.09
Hf: 0.0000 0.0000 0.5148  9 Ag 2.90-3.01
Ag: 0.5000 0.5000 0.6673  5 Ag 2.86-3.09, 5 Hf 2.90-3.04
Ag: 0.0000 0.0000 0.8127  4 Ag 2.86, 5 Hf 2.92-3.01
Hf: 0.5000 0.5000 0.9681  5 Ag 2.92-3.04, 4 Pb 3.23
Pb: 0.0000 0.0000 0.1758  4 Ag 3.09, 5 Hf 3.23-3.42

## Properties
Total magnetic moment   0.48 Bohr magnetons per cell
Theoretical density   12.09 g/cm3
Total energy   -5.24 eV/atom
Symmetry   P4mm (99)

=====

Record 7
Computed, not measured: crystalline NaYPtSe3 at its relaxed geometry at the PBE level of DFT.

Cell: 7.5280 7.5280 10.2528 Å, 90.00 90.00 149.48°
Last column: nearest neighbours and their distance in Å.
Atoms (fractional coordinates):
Y: 0.0000 0.0000 0.5000  6 Se 2.89-2.93
Se: 0.6340 0.3660 0.4227  1 Pt 2.52
Y: 0.0000 0.0000 0.0000  6 Se 2.89-2.93
Na: 0.2325 0.7675 0.2500  6 Se 3.02-3.16
Se: 0.3660 0.6340 0.9227  1 Pt 2.52
Se: 0.9019 0.0981 0.2500  2 Pt 2.53
Pt: 0.5106 0.4894 0.2500  4 Se 2.52-2.53
Se: 0.6340 0.3660 0.0773  1 Pt 2.52
Na: 0.7675 0.2325 0.7500  6 Se 3.02-3.16
Se: 0.3660 0.6340 0.5773  1 Pt 2.52
Se: 0.0981 0.9019 0.7500  2 Pt 2.53
Pt: 0.4894 0.5106 0.7500  4 Se 2.52-2.53

## Properties
Total magnetic moment   0.01 Bohr magnetons per cell
Theoretical density   6.12 g/cm3
Total energy   -5.12 eV/atom
Symmetry   Cmcm (63)

=====

Record 8
Computed, not measured: crystalline LuCu at its relaxed geometry at the PBE level of DFT.

Cell: 3.6575 3.6575 7.3927 Å, 90.00 90.00 120.00°
Last column: nearest neighbours and their distance in Å.
Atoms (fractional coordinates):
Cu: 0.3333 0.6667 0.7500  6 Lu 2.81
Lu: 0.0000 0.0000 0.5000  6 Cu 2.81
Lu: 0.0000 0.0000 0.0000  6 Cu 2.81
Cu: 0.6667 0.3333 0.2500  6 Lu 2.81

## Properties
Total magnetic moment   0.01 Bohr magnetons per cell
Energy of formation from the pure elements   -0.0612 eV per atom
Theoretical density   9.25 g/cm3
Total energy   -4.18 eV/atom
Symmetry   P6_3/mmc (194)

=====

Record 9
Computed, not measured: crystalline Nb5Sn3B at its relaxed geometry at the PBE level of DFT.

Cell: 8.2265 8.2265 5.4971 Å, 90.00 90.00 120.00°
Last column: nearest neighbours and their distance in Å.
Atoms (fractional coordinates):
Sn: 0.5994 0.0000 0.2500  9 Nb 2.86-3.08, 2 Sn 3.20
Sn: 0.0000 0.4006 0.7500  9 Nb 2.86-3.08, 2 Sn 3.20
Sn: 0.5994 0.5994 0.7500  9 Nb 2.86-3.08, 2 Sn 3.20
Nb: 0.0000 0.7682 0.7500  2 B 2.35
Nb: 0.6667 0.3333 0.5000  2 Nb 2.75, 6 Sn 2.86
B: 0.0000 0.0000 0.0000  6 Nb 2.35
Nb: 0.2318 0.2318 0.7500  2 B 2.35
Nb: 0.3333 0.6667 0.0000  2 Nb 2.75, 6 Sn 2.86
Nb: 0.0000 0.2318 0.2500  2 B 2.35
Sn: 0.4006 0.4006 0.2500  9 Nb 2.86-3.08, 2 Sn 3.20
Nb: 0.2318 0.0000 0.2500  2 B 2.35
B: 0.0000 0.0000 0.5000  6 Nb 2.35
Nb: 0.7682 0.7682 0.2500  2 B 2.35
Nb: 0.3333 0.6667 0.5000  2 Nb 2.75, 6 Sn 2.86
Sn: 0.4006 0.0000 0.7500  9 Nb 2.86-3.08, 2 Sn 3.20
Nb: 0.6667 0.3333 0.0000  2 Nb 2.75, 6 Sn 2.86
Nb: 0.7682 0.0000 0.7500  2 B 2.35
Sn: 0.0000 0.5994 0.2500  9 Nb 2.86-3.08, 2 Sn 3.20

## Properties
Total magnetic moment   0.02 Bohr magnetons per cell
Theoretical density   8.57 g/cm3
Total energy   -7.96 eV/atom
Symmetry   P6_3/mcm (193)

=====

Record 10
Computed, not measured: crystalline RbOs at its relaxed geometry at the PBE level of DFT.

Cell: 5.9204 5.9204 4.6858 Å, 90.00 90.00 120.00°
Last column: nearest neighbours and their distance in Å.
Atoms (fractional coordinates):
Os: 0.0000 0.0000 0.5000  2 Os 2.34
Rb: 0.3333 0.6667 0.7500  6 Os 3.61
Os: 0.0000 0.0000 0.0000  2 Os 2.34
Rb: 0.6667 0.3333 0.2500  6 Os 3.61

## Properties
Total magnetic moment   2.35 Bohr magnetons per cell
Theoretical density   6.44 g/cm3
Total energy   -4.63 eV/atom
Symmetry   P6_3/mmc (194)
Distance to the lowest polymorph of the same formula   0.0 meV/atom